Material: Cs4AuS
Method: DFT, PBE-GGA
State: relaxed

Structure (extended XYZ):
```
12
Lattice="-4.280 4.280 8.387 4.280 -4.280 8.387 4.280 4.280 -8.387" Properties=species:S:1:pos:R:3 pbc="T T T"
Cs 1.975 0.000 0.000
Cs 6.585 0.000 0.000
Cs 2.140 4.115 -4.193
Cs 2.140 -0.165 4.193
Cs 1.975 4.280 0.000
Cs 2.305 0.000 8.387
Cs -2.140 4.445 4.193
Cs 2.140 4.445 4.193
Au 4.280 2.140 2.097
Au 0.000 2.140 6.290
S 4.280 -2.140 6.290
S 0.000 6.420 2.097
```

Results
The space group is I4_1/amd, No. 141.

Material: HoPuCdBi
Method: DFT, PBE-GGA
State: relaxed

Structure (extended XYZ):
```
4
Lattice="0.000 3.817 3.817 3.817 0.000 3.817 3.817 3.817 0.000" Properties=species:S:1:pos:R:3 pbc="T T T"
Ho 0.000 0.000 0.000
Pu 3.817 3.817 3.817
Cd 1.909 1.909 1.909
Bi 5.726 5.726 5.726
```

Results
The space group is F-43m, No. 216. Its formation energy is -0.264 eV per atom.

Material: BaPtW2Br
Method: DFT, PBE-GGA
State: relaxed

Structure (extended XYZ):
```
5
Lattice="5.573 0.000 0.000 0.000 5.573 0.000 0.000 0.000 5.636" Properties=species:S:1:pos:R:3 pbc="T T T"
Ba 0.000 0.000 0.000
Pt 2.786 2.786 2.818
W 0.000 2.786 0.000
W 2.786 0.000 0.000
Br 0.000 0.000 2.818
```

Results
The space group is P4/mmm, No. 123.

Material: TlSn2Se3
Method: DFT, PBE-GGA
State: relaxed

Structure (extended XYZ):
```
6
Lattice="6.872 -3.006 0.000 6.872 3.006 0.000 -1.316 0.000 4.061" Properties=species:S:1:pos:R:3 pbc="T T T"
Tl 0.000 0.000 0.000
Sn 4.149 0.000 1.352
Sn 8.280 0.000 2.709
Se 1.583 0.000 2.765
Se 6.872 0.000 0.000
Se 10.845 0.000 1.297
```

Results
The space group is C2/m, No. 12. The offset from the most stable computed form is 0.000 eV/atom.

Material: DyScSb2O8
Method: DFT, PBE-GGA
State: relaxed

Structure (extended XYZ):
```
12
Lattice="-2.580 2.580 5.494 2.580 -2.580 5.494 2.580 2.580 -5.494" Properties=species:S:1:pos:R:3 pbc="T T T"
Dy 0.000 0.000 0.000
Sc 2.580 0.000 2.747
Sb 0.000 0.000 5.494
Sb 0.000 2.580 2.747
O 1.250 1.026 -1.785
O 1.320 -0.964 4.470
O 1.616 1.260 1.024
O 1.554 -1.330 7.279
O 1.260 3.544 -1.024
O 1.330 1.554 3.709
O 0.964 1.320 6.517
O 1.026 3.910 1.785
```

Results
The space group is I-4, No. 82.

Material: Ho2IrCl
Method: DFT, PBE-GGA
State: relaxed

Structure (extended XYZ):
```
4
Lattice="2.001 1.155 7.317 -2.001 1.155 7.317 0.000 -2.310 7.317" Properties=species:S:1:pos:R:3 pbc="T T T"
Ho 0.000 0.000 5.115
Ho 0.000 0.000 16.836
Ir 0.000 0.000 10.976
Cl 0.000 0.000 0.000
```

Results
The space group is R-3m, No. 166. The offset from the most stable computed form is 0.000 eV/atom.

Material: Tl2RuC
Method: DFT, PBE-GGA
State: relaxed

Structure (extended XYZ):
```
4
Lattice="0.000 3.300 3.300 3.300 0.000 3.300 3.300 3.300 0.000" Properties=species:S:1:pos:R:3 pbc="T T T"
Tl 1.650 1.650 1.650
Tl 4.951 4.951 4.951
Ru 0.000 0.000 0.000
C 3.300 3.300 3.300
```

Results
The space group is Fm-3m, No. 225. The offset from the most stable computed form is 0.861 eV/atom. Its formation energy is 1.746 eV per atom.

Material: CaTb2PmSb4
Method: DFT, PBE-GGA
State: relaxed

Structure (extended XYZ):
```
8
Lattice="0.000 6.302 4.453 4.453 0.000 4.453 4.453 6.302 0.000" Properties=species:S:1:pos:R:3 pbc="T T T"
Ca 0.000 0.000 0.000
Tb 2.227 3.151 2.225
Tb 6.680 9.453 6.678
Pm 4.453 6.302 4.445
Sb 4.453 3.174 4.452
Sb 6.677 6.302 6.675
Sb 4.453 9.430 4.452
Sb 2.230 6.302 6.675
```

Results
The space group is Fmm2, No. 42.

Material: KCuIr2
Method: DFT, PBE-GGA
State: relaxed

Structure (extended XYZ):
```
4
Lattice="4.377 -1.387 0.000 4.377 1.387 0.000 -0.767 0.000 6.851" Properties=species:S:1:pos:R:3 pbc="T T T"
K 0.000 0.000 0.000
Cu 1.465 0.000 4.575
Ir 4.026 0.000 3.222
Ir 6.394 0.000 2.485
```

Results
The space group is Cm, No. 8. The offset from the most stable computed form is 0.030 eV/atom. Its formation energy is 0.451 eV per atom.

Material: Pr8Sm2Zn
Method: DFT, PBE-GGA
State: relaxed

Structure (extended XYZ):
```
11
Lattice="9.094 -2.873 0.000 9.094 2.873 0.000 -2.579 0.000 7.199" Properties=species:S:1:pos:R:3 pbc="T T T"
Pr -0.492 0.000 1.975
Pr 1.499 0.000 5.229
Pr 4.793 0.000 4.092
Pr 6.986 0.000 0.559
Pr 8.622 0.000 6.640
Pr 10.816 0.000 3.107
Pr 14.110 0.000 1.971
Pr 16.100 0.000 5.225
Sm 2.953 0.000 1.200
Sm 12.655 0.000 5.999
Zn 7.804 0.000 3.600
```

Results
The space group is C2/m, No. 12. The offset from the most stable computed form is 0.061 eV/atom. Its formation energy is 0.049 eV per atom.

Material: Pr4C2I
Method: DFT, PBE-GGA
State: relaxed

Structure (extended XYZ):
```
7
Lattice="1.911 1.104 14.723 -1.911 1.104 14.723 0.000 -2.207 14.723" Properties=species:S:1:pos:R:3 pbc="T T T"
Pr 0.000 0.000 5.422
Pr 0.000 0.000 12.107
Pr 0.000 0.000 32.063
Pr 0.000 0.000 38.748
C 0.000 0.000 18.720
C 0.000 0.000 25.450
I 0.000 0.000 0.000
```

Results
The space group is R-3m, No. 166.

Material: KCe2Se4
Method: DFT, PBE-GGA
State: relaxed

Structure (extended XYZ):
```
14
Lattice="-4.379 4.418 6.182 4.379 -4.418 6.182 4.379 4.418 -6.182" Properties=species:S:1:pos:R:3 pbc="T T T"
K -2.189 2.209 3.091
K 2.189 2.209 3.091
Ce 0.000 0.000 0.000
Ce 2.189 2.209 -3.091
Ce 2.189 -2.209 3.091
Ce 0.000 4.418 0.000
Se 4.379 4.166 -3.255
Se 1.916 2.209 -0.181
Se 4.379 -0.252 3.255
Se 2.463 -2.209 6.001
Se 1.916 6.627 0.181
Se 0.000 4.670 2.927
Se 2.463 2.209 6.363
Se 0.000 0.252 9.437
```

Results
The space group is Imma, No. 74. The offset from the most stable computed form is 0.000 eV/atom.

| no. | energy (eV/cell) |
| --- | --- |
| 1 | -28.66 |
| 2 | -24.76 |
| 3 | -19.27 |
| 4 | -23.19 |
| 5 | -86.13 |
| 6 | -24.71 |
| 7 | -16.25 |
| 8 | -40.87 |
| 9 | -21.11 |
| 10 | -48.41 |
| 11 | -41.89 |
| 12 | -76.99 |